[1]
VASP calculation (PBE with a Hubbard U) on a geometry-optimized VPF2 structure.

a = 5.917 Å, b = 5.917 Å, c = 5.917 Å
α = 90.00°, β = 90.00°, γ = 90.00°
Element x y z (fractional)
V  0.000  0.000  0.000
V  0.000  0.500  0.500
V  0.500  0.000  0.500
V  0.500  0.500  0.000
P  0.000  0.000  0.500
P  0.000  0.500  0.000
P  0.500  0.000  0.000
P  0.500  0.500  0.500
F  0.250  0.250  0.250
F  0.250  0.250  0.750
F  0.250  0.750  0.250
F  0.250  0.750  0.750
F  0.750  0.250  0.250
F  0.750  0.250  0.750
F  0.750  0.750  0.250
F  0.750  0.750  0.750

Space-group type   Fm-3m

[2]
VASP calculation (PBE with a Hubbard U) on a geometry-optimized VP2F structure.

a = 3.319 Å, b = 3.319 Å, c = 21.774 Å
α = 90.00°, β = 90.00°, γ = 90.00°
Element x y z (fractional)
V  0.000  0.000  0.000
V  0.000  0.500  0.250
V  0.500  0.000  0.750
V  0.500  0.500  0.500
P  0.223  0.250  0.125
P  0.250  0.723  0.375
P  0.250  0.777  0.875
P  0.277  0.250  0.625
P  0.723  0.750  0.625
P  0.750  0.223  0.875
P  0.750  0.277  0.375
P  0.777  0.750  0.125
F  0.000  0.000  0.500
F  0.000  0.500  0.750
F  0.500  0.000  0.250
F  0.500  0.500  0.000

Space-group type   I-42d

| no. | energy above the most stable polymorph in this dataset (eV per atom) |
| --- | --- |
| 1 | 1.050 |
| 2 | 0.000 |